An optimized crystal structure of LaZn12Cu4, computed with PBE.

abc: 8.5780 8.5780 8.5780
angles: 90.00 90.00 90.00
Last column: nearest neighbours and their distance in Å.
Space group Im-3 (No. 204)
Asymmetric unit:
La 0.0000 0.0000 0.0000  12 Zn 3.32, 8 Cu 3.71
Zn 0.0000 0.3522 0.1609  2 Cu 2.44, 1 Zn 2.54
Cu 0.2500 0.2500 0.2500  6 Zn 2.44

Results
* total magnetization: 0.00 μB/cell
* calculated total energy: -2.0171 eV/atom
* formation enthalpy at 0 K: 2.309 eV per formula unit

---

An optimized crystal structure of La4ZnCu2, computed with PBE.

abc: 5.1714 5.1714 25.0094
angles: 90.00 90.00 120.00
Last column: nearest neighbours and their distance in Å.
Space group R-3m (No. 166, hexagonal axes)
Asymmetric unit:
La 0.0000 0.0000 0.1195  4 Cu 3.09-3.14, 3 Zn 3.21
La 0.0000 0.0000 0.3721  4 Cu 3.17-3.23, 1 Zn 3.20
Zn 0.0000 0.0000 0.5000  8 La 3.20-3.21, 6 Cu 3.57
Cu 0.0000 0.0000 0.2451  8 La 3.09-3.23

Results
* total magnetization: 2.64 μB/cell
* calculated total energy: -4.2568 eV/atom
* formation enthalpy at 0 K: -0.622 eV per formula unit

---

An optimized crystal structure of La3Zn7Cu2, computed with PBE.

abc: 5.5188 5.5188 26.4501
angles: 90.00 90.00 120.00
Last column: nearest neighbours and their distance in Å.
Space group R-3m (No. 166, hexagonal axes)
Asymmetric unit:
La 0.0000 0.0000 0.0000  6 Cu 3.19, 12 Zn 3.44
La 0.0000 0.0000 0.1465  12 Zn 3.23-3.30, 3 La 3.36
Zn 0.0000 0.0000 0.5000  6 Zn 2.84
Zn 0.9998 0.4999 0.0779  2 Cu 2.59-2.62, 5 Zn 2.76-2.84
Cu 0.0000 0.0000 0.3341  6 Zn 2.59-2.62

Results
* total magnetization: 0.00 μB/cell
* calculated total energy: -2.9377 eV/atom
* formation enthalpy at 0 K: -3.360 eV per formula unit

---

An optimized crystal structure of La2ZnCu2, computed with PBE.

abc: 3.5647 3.5647 18.1883
angles: 90.00 90.00 90.00
Last column: nearest neighbours and their distance in Å.
Space group I4/mmm (No. 139)
Asymmetric unit:
La 0.0000 0.0000 0.1111  4 Cu 3.09, 4 Zn 3.23
Zn 0.0000 0.0000 0.5000  8 La 3.23, 4 Zn 3.56
Cu 0.0000 0.5000 0.2500  4 Cu 2.52

Results
* total magnetization: 0.00 μB/cell
* calculated total energy: -3.9340 eV/atom
* formation enthalpy at 0 K: -0.349 eV per formula unit